VASP calculation (SCAN) on a PBEsol-optimized structure of MgCd3.

Energy above the most stable polymorph in this dataset in meV/atom: 72.5
N(E_F) in states/eV per cell: 2.551
Raw total energy in eV for the cell shown: -192.6
M_tot in μB per cell: 0.00

Cell: 5.5714 5.5714 5.5714 Å, 90.00 90.00 90.00°
Closest atoms and distances in Å follow each position.
Atoms (fractional coordinates):
Cd  0.5000  0.0000  0.7500  2 Cd 2.79, 4 Mg 3.11
Cd  0.0000  0.7500  0.5000  2 Cd 2.79, 4 Mg 3.11
Cd  0.7500  0.5000  0.0000  2 Cd 2.79, 4 Mg 3.11
Cd  0.5000  0.0000  0.2500  2 Cd 2.79, 4 Mg 3.11
Cd  0.0000  0.2500  0.5000  2 Cd 2.79, 4 Mg 3.11
Cd  0.2500  0.5000  0.0000  2 Cd 2.79, 4 Mg 3.11
Mg  0.5000  0.5000  0.5000  12 Cd 3.11
Mg  0.0000  0.0000  0.0000  12 Cd 3.11